1.
Here is crystalline TmPuSe at its relaxed geometry from Alexandria via LeMat-Bulk. Energies are from GGA-PBE.

Unit cell a=3.525 b=3.525 c=12.471 alpha=90.00 beta=90.00 gamma=90.00
Space group I4mm (No. 107)
One atom of each set of equivalent atoms:
Tm  0.000  0.000  0.000 (multiplicity 2)
Pu  0.000  0.000  0.284 (multiplicity 2)
Se  0.000  0.000  0.635 (multiplicity 2)

## Properties
ΔE to the lowest computed polymorph ... 79 meV/atom
Formation energy without anion corrections ... -2.26 eV per formula unit
Crystal system ... tetragonal
Calculated volume ... 155 Å³ per cell


2.
Here is crystalline ThNpPb2O8 at its relaxed geometry from Alexandria via LeMat-Bulk. Energies are from GGA-PBE.

Unit cell a=5.346 b=7.246 c=5.346 alpha=90.00 beta=90.38 gamma=90.00
Space group P2/m (No. 10)
One atom of each set of equivalent atoms:
Th  0.000  0.000  0.000 (multiplicity 1)
Np  0.000  0.500  0.000 (multiplicity 1)
Pb  0.500  0.244  0.500 (multiplicity 2)
O  0.171  0.273  0.826 (multiplicity 4)
O  0.256  0.500  0.253 (multiplicity 2)
O  0.304  0.000  0.302 (multiplicity 2)

## Properties
Formation energy without anion corrections ... -26.78 eV per formula unit
Crystal system ... monoclinic
Calculated volume ... 207 Å³ per cell


3.
Here is crystalline Ti6CrOs5 at its relaxed geometry from Alexandria via LeMat-Bulk. Energies are from GGA-PBE.

Unit cell a=4.366 b=6.165 c=13.078 alpha=90.00 beta=90.00 gamma=90.00
Space group Immm (No. 71)
One atom of each set of equivalent atoms:
Ti  0.000  0.247  0.000 (multiplicity 4)
Ti  0.000  0.252  0.335 (multiplicity 8)
Cr  0.000  0.500  0.500 (multiplicity 2)
Os  0.000  0.000  0.166 (multiplicity 4)
Os  0.000  0.000  0.500 (multiplicity 2)
Os  0.000  0.500  0.167 (multiplicity 4)

## Properties
Formation energy ... -0.604 eV per atom
Crystal system ... orthorhombic
Calculated volume ... 352 Å³ per cell